P.
Density functional theory data (PBE) for a geometry-optimized BaSc2W structure.

POSCAR file:
```
BaSc2W
1.0
6.634 0.000 0.000
0.000 10.539 0.000
-1.290 0.000 2.774
Ba Sc W
2 4 2
Cartesian
0.000 0.000 0.000
3.317 5.270 0.000
1.013 2.635 1.387
1.013 7.905 1.387
4.330 2.635 1.387
4.330 7.905 1.387
0.000 5.270 0.000
3.317 0.000 0.000
```

Summary:
volume = 24.2 Å³/atom
M_tot = 0.000 Bohr magnetons per cell
D(E_F) = 1.55 states/eV per atom
symmetry = C2/m



Q.
Density functional theory data (PBE) for a geometry-optimized BaSc2W structure.

POSCAR file:
```
BaSc2W
1.0
4.629 0.000 0.000
0.000 4.629 0.000
0.000 0.000 9.150
Ba Sc W
2 4 2
Cartesian
0.000 0.000 0.000
2.314 2.314 4.575
0.000 0.000 4.575
0.000 2.314 6.863
2.314 0.000 2.288
2.314 2.314 0.000
0.000 2.314 2.288
2.314 0.000 6.863
```

Summary:
volume = 24.5 Å³/atom
M_tot = 0.000 Bohr magnetons per cell
D(E_F) = 1.07 states/eV per atom
symmetry = I-4m2



R.
Density functional theory data (PBE) for a geometry-optimized BaSc2W structure.

POSCAR file:
```
BaSc2W
1.0
3.712 0.000 0.000
0.000 3.712 0.000
0.000 0.000 8.174
Ba Sc W
1 2 1
Cartesian
0.000 0.000 0.000
0.000 0.000 4.807
1.856 1.856 3.095
1.856 1.856 5.819
```

Summary:
volume = 28.2 Å³/atom
M_tot = 0.000 Bohr magnetons per cell
D(E_F) = 1.05 states/eV per atom
symmetry = P4mm



S.
Density functional theory data (PBE) for a geometry-optimized BaSc2W structure.

POSCAR file:
```
BaSc2W
1.0
9.800 0.000 0.000
0.000 3.110 0.000
-0.281 0.000 7.432
Ba Sc W
2 4 2
Cartesian
0.000 0.000 0.000
4.900 1.555 0.000
2.199 0.000 4.733
4.750 0.000 3.222
7.099 1.555 4.733
9.650 1.555 3.222
2.456 1.555 2.393
7.356 0.000 2.393
```

Summary:
volume = 28.3 Å³/atom
M_tot = 0.000 Bohr magnetons per cell
D(E_F) = 0.79 states/eV per atom
symmetry = Cm



Stability check: which of them is least stable? P.